Here is Rb2Sn2Se3 after structural relaxation from Alexandria via LeMat-Bulk. Energies are from GGA-PBE.

Cell lengths 8.421, 8.461, 7.571 Å; angles 90.00, 77.54, 90.00 degrees
Fractional positions:
Sn1 0.979 0.160 0.685
Sn2 0.479 0.340 0.685
Sn3 0.021 0.840 0.315
Sn4 0.521 0.660 0.315
Se1 0.500 0.500 0.000
Se2 0.000 0.000 0.000
Se3 0.733 0.468 0.442
Se4 0.267 0.532 0.558
Se5 0.767 0.968 0.558
Se6 0.233 0.032 0.442
Rb1 0.378 0.852 0.798
Rb2 0.622 0.148 0.202
Rb3 0.878 0.648 0.798
Rb4 0.122 0.352 0.202

Values from the calculation:
Total DFT energy (no corrections): -3.68 eV/atom
Uncorrected formation energy: -0.767 eV per atom
SG: No. 14
Theoretical density: 4.1 g/cm3